# 1
VASP calculation (PBE) on crystalline RbTcGeMo2 at its relaxed geometry.

Calculated values
Spin magnetization, Bohr magnetons per cell: 0.0
E, eV for the cell shown: -28.750
Theoretical density, g cm⁻³: 6.63
E_form, eV per atom: 1.773

abc: 4.8519 4.8519 4.7663
angles: 90.00 90.00 90.00
With the nearest neighbours (Å) after each atom.
Space group P4/mmm (No. 123)
Inequivalent atoms, fractional coordinates:
Rb1 0.0000 0.0000 0.0000  8 Mo 3.40, 4 Tc 3.43
Tc1 0.5000 0.5000 0.0000  2 Ge 2.38
Ge1 0.5000 0.5000 0.5000  2 Tc 2.38, 4 Mo 2.43
Mo1 0.0000 0.5000 0.5000  2 Ge 2.43

=====

# 2
VASP calculation (PBE) on crystalline MnAl4Ga at its relaxed geometry.

Calculated values
Spin magnetization, Bohr magnetons per cell: 4.8
E, eV for the cell shown: -54.935
Theoretical density, g cm⁻³: 4.20
E_form, eV per atom: -0.050

abc: 2.8015 4.8273 13.8656
angles: 99.84 95.56 90.03
With the nearest neighbours (Å) after each atom.
Space group P-1 (No. 2)
Inequivalent atoms, fractional coordinates:
Mn1 0.1248 0.1235 0.2513  6 Al 2.69-2.76, 4 Ga 2.78-2.80, 2 Mn 2.80
Al1 0.0428 0.3638 0.0835  9 Al 2.75-2.87, 1 Mn 2.76, 2 Ga 2.80-2.81
Al2 0.2089 0.8802 0.4160  1 Mn 2.73, 9 Al 2.76-2.87, 2 Ga 2.77-2.79
Al3 0.2956 0.6301 0.5899  1 Ga 2.69, 2 Mn 2.69-2.70, 9 Al 2.76-2.94
Al4 0.4541 0.1219 0.9085  1 Ga 2.70, 2 Mn 2.70-2.71, 9 Al 2.75-2.96
Ga1 0.3755 0.3781 0.7491  6 Al 2.69-2.81, 4 Mn 2.78-2.80, 2 Ga 2.80

=====

# 3
VASP calculation (PBE) on crystalline CsBrO at its relaxed geometry.

Calculated values
Spin magnetization, Bohr magnetons per cell: 8.2
E, eV for the cell shown: -35.444
Theoretical density, g cm⁻³: 2.97
Formation energy (no corrections), kJ/mol of formula units: -133

abc: 10.5640 9.5588 5.6285
angles: 90.00 115.82 90.00
With the nearest neighbours (Å) after each atom.
Space group C2/m (No. 12)
Inequivalent atoms, fractional coordinates:
Cs1 0.2183 0.0000 0.3318  3 O 2.92-3.25
Br1 0.0000 0.2300 0.5000  2 O 2.60
O1 0.1066 0.0000 0.7567  2 Br 2.60, 1 O 2.78

=====

# 4
VASP calculation (PBE) on crystalline ScTlBi2 at its relaxed geometry.

Calculated values
Spin magnetization, Bohr magnetons per cell: 0.0
E, eV for the cell shown: -51.103
Theoretical density, g cm⁻³: 8.73
E_form, eV per atom: -0.144

abc: 4.2282 4.2282 24.6046
angles: 90.00 90.00 120.00
With the nearest neighbours (Å) after each atom.
Space group R-3m (No. 166, hexagonal axes)
Inequivalent atoms, fractional coordinates:
Sc1 0.0000 0.0000 0.0000  6 Bi 3.01
Tl1 0.0000 0.0000 0.5000  6 Bi 3.38
Bi1 0.0000 0.0000 0.2615  3 Sc 3.01